Density functional theory data (PBE-GGA) for crystalline Pr2Er4Mg at its relaxed geometry.

The structure belongs to space group I-42m (No. 121); the cell edges are 8.2268, 8.2268 and 6.6948 Å and the angles 90.00°, 90.00° and 90.00°. The asymmetric unit holds Pr at (0.0000, 0.5000, 0.2500), Er at (0.2014, 0.2014, 0.0727) and Mg at (0.0000, 0.0000, 0.5000).

The calculation puts the density at 7.1 g/cm3. The calculation puts the calculated volume at 32.365 Å³/atom. The calculation puts the formation energy at 0.33 eV/atom. The calculation puts the total DFT energy (no corrections) at -3.868 eV per atom.